Material: FeCu2
Method: DFT, PBE
State: relaxed

## Properties
DOS(E_F) in states/eV/atom: 0.97
Crystal system: tetragonal
Formation enthalpy at 0 K in eV per atom: 0.41
Volume in A^3/atom: 12.9
DFT total energy in eV/cell: -30.8

a b c (Å): 4.713 4.713 4.713
angles (deg): 103.18 103.18 122.96
Sites, in units of the cell vectors:
Fe1 0.250 0.250 0.000
Fe2 0.750 0.750 0.000
Cu1 0.148 0.648 0.796
Cu2 0.352 0.148 0.500
Cu3 0.648 0.852 0.500
Cu4 0.852 0.352 0.204

Material: Na3YF6
Method: DFT, PBE
State: relaxed

## Properties
DOS(E_F) in states/eV/atom: 0.00
Crystal system: orthorhombic
Volume in A^3/atom: 14.1
DFT total energy in eV/cell: -108.1
Uncorrected formation energy in meV per atom: -3239

a b c (Å): 6.125 11.635 3.971
angles (deg): 90.00 90.00 90.00
Sites, in units of the cell vectors:
Na1 0.000 0.000 0.000
Na2 0.062 0.240 0.500
Na3 0.438 0.740 0.000
Na4 0.500 0.500 0.500
Na5 0.562 0.260 0.000
Na6 0.938 0.760 0.500
Y1 0.000 0.500 0.000
Y2 0.500 0.000 0.500
F1 0.066 0.697 0.000
F2 0.165 0.561 0.500
F3 0.168 0.916 0.500
F4 0.332 0.416 0.000
F5 0.335 0.061 0.000
F6 0.434 0.197 0.500
F7 0.566 0.803 0.500
F8 0.665 0.939 0.000
F9 0.668 0.584 0.000
F10 0.832 0.084 0.500
F11 0.835 0.439 0.500
F12 0.934 0.303 0.000